1.
DFT (GGA-PBEsol) results for crystalline Ca3MnO4 at its relaxed geometry.

The value obtained for the relative energy among the computed polymorphs is 0.00 eV/f.u. The value obtained for the energy relative to the elements, uncorrected is -2.53 eV/atom. For the size of the total moment, the calculation gives 5.0 μB per formula unit.

Cell: 5.701 5.701 5.746 Å, 99.08 99.08 33.76°
Element x y z (fractional)
Ca: 0.000 0.000 0.000
Ca: 0.249 0.249 0.746
Ca: 0.751 0.751 0.254
Mn: 0.500 0.500 0.500
O: 0.118 0.118 0.383
O: 0.374 0.374 0.128
O: 0.626 0.626 0.872
O: 0.882 0.882 0.617


2.
DFT (GGA-PBEsol) results for crystalline CaMn8O16 at its relaxed geometry.

The value obtained for the energy relative to the elements, uncorrected is -1.80 eV/atom. For the size of the total moment, the calculation gives 22.0 μB per formula unit.

Cell: 9.172 5.628 13.174 Å, 90.00 131.23 90.00°
Element x y z (fractional)
Ca: 0.000 0.121 0.000
Ca: 0.000 0.879 0.500
Mn: 0.147 0.375 0.806
Mn: 0.147 0.625 0.306
Mn: 0.148 0.125 0.310
Mn: 0.148 0.875 0.810
Mn: 0.435 0.375 0.614
Mn: 0.435 0.625 0.114
Mn: 0.443 0.125 0.117
Mn: 0.443 0.875 0.617
Mn: 0.497 0.125 0.826
Mn: 0.497 0.875 0.326
Mn: 0.502 0.375 0.329
Mn: 0.502 0.625 0.829
Mn: 0.790 0.126 0.634
Mn: 0.790 0.874 0.134
Mn: 0.791 0.376 0.137
Mn: 0.791 0.624 0.637
O: 0.034 0.119 0.676
O: 0.034 0.369 0.176
O: 0.034 0.631 0.676
O: 0.034 0.881 0.176
O: 0.226 0.128 0.930
O: 0.226 0.872 0.430
O: 0.229 0.378 0.428
O: 0.229 0.622 0.928
O: 0.312 0.119 0.633
O: 0.312 0.881 0.133
O: 0.315 0.369 0.135
O: 0.315 0.631 0.635
O: 0.371 0.126 0.333
O: 0.371 0.874 0.833
O: 0.374 0.376 0.835
O: 0.374 0.624 0.335
O: 0.564 0.127 0.607
O: 0.564 0.873 0.107
O: 0.565 0.377 0.109
O: 0.565 0.623 0.609
O: 0.619 0.372 0.807
O: 0.619 0.628 0.307
O: 0.624 0.121 0.310
O: 0.624 0.879 0.810
O: 0.707 0.377 0.514
O: 0.707 0.623 0.014
O: 0.712 0.127 0.013
O: 0.712 0.873 0.513
O: 0.903 0.121 0.266
O: 0.903 0.879 0.766
O: 0.904 0.371 0.765
O: 0.904 0.629 0.265


3.
DFT (GGA-PBEsol) results for crystalline Ca4Mn3O10 at its relaxed geometry.

The value obtained for the energy relative to the elements, uncorrected is -2.41 eV/atom. For the size of the total moment, the calculation gives 9.0 μB per formula unit.

Cell: 5.223 5.254 26.613 Å, 90.00 90.00 90.00°
Element x y z (fractional)
Ca: 0.005 0.032 0.204
Ca: 0.005 0.468 0.704
Ca: 0.006 0.541 0.569
Ca: 0.006 0.959 0.069
Ca: 0.494 0.041 0.569
Ca: 0.494 0.459 0.069
Ca: 0.495 0.532 0.204
Ca: 0.495 0.968 0.704
Ca: 0.505 0.032 0.296
Ca: 0.505 0.468 0.796
Ca: 0.506 0.541 0.931
Ca: 0.506 0.959 0.431
Ca: 0.994 0.041 0.931
Ca: 0.994 0.459 0.431
Ca: 0.995 0.532 0.296
Ca: 0.995 0.968 0.796
Mn: 0.000 0.000 0.500
Mn: 0.000 0.001 0.641
Mn: 0.000 0.499 0.141
Mn: 0.000 0.500 0.000
Mn: 0.000 0.501 0.859
Mn: 0.000 0.999 0.359
Mn: 0.500 0.000 0.000
Mn: 0.500 0.001 0.859
Mn: 0.500 0.499 0.359
Mn: 0.500 0.500 0.500
Mn: 0.500 0.501 0.641
Mn: 0.500 0.999 0.141
O: 0.045 0.007 0.711
O: 0.045 0.493 0.211
O: 0.069 0.012 0.430
O: 0.069 0.488 0.930
O: 0.208 0.208 0.010
O: 0.208 0.292 0.510
O: 0.210 0.209 0.131
O: 0.210 0.212 0.851
O: 0.210 0.288 0.351
O: 0.210 0.291 0.631
O: 0.290 0.709 0.131
O: 0.290 0.712 0.851
O: 0.290 0.788 0.351
O: 0.290 0.791 0.631
O: 0.292 0.708 0.010
O: 0.292 0.792 0.510
O: 0.431 0.512 0.430
O: 0.431 0.988 0.930
O: 0.455 0.507 0.711
O: 0.455 0.993 0.211
O: 0.545 0.007 0.789
O: 0.545 0.493 0.289
O: 0.569 0.012 0.070
O: 0.569 0.488 0.570
O: 0.708 0.208 0.490
O: 0.708 0.292 0.990
O: 0.710 0.209 0.369
O: 0.710 0.212 0.649
O: 0.710 0.288 0.149
O: 0.710 0.291 0.869
O: 0.790 0.709 0.369
O: 0.790 0.712 0.649
O: 0.790 0.788 0.149
O: 0.790 0.791 0.869
O: 0.792 0.708 0.490
O: 0.792 0.792 0.990
O: 0.931 0.512 0.070
O: 0.931 0.988 0.570
O: 0.955 0.507 0.789
O: 0.955 0.993 0.289


4.
DFT (GGA-PBEsol) results for crystalline CaMn3O4 at its relaxed geometry.

The value obtained for the energy relative to the elements, uncorrected is -1.56 eV/atom. For the size of the total moment, the calculation gives 14.3 μB per formula unit.

Cell: 3.224 3.224 8.687 Å, 90.00 90.00 90.00°
Element x y z (fractional)
Ca: 0.000 0.000 0.000
Mn: 0.000 0.000 0.500
Mn: 0.500 0.500 0.258
Mn: 0.500 0.500 0.742
O: 0.000 0.000 0.265
O: 0.000 0.000 0.735
O: 0.500 0.500 0.000
O: 0.500 0.500 0.500


5.
DFT (GGA-PBEsol) results for crystalline CaMn2O4 at its relaxed geometry.

The value obtained for the relative energy among the computed polymorphs is 0.70 eV/f.u. The value obtained for the energy relative to the elements, uncorrected is -1.96 eV/atom. For the size of the total moment, the calculation gives 8.0 μB per formula unit.

Cell: 6.116 6.116 10.986 Å, 106.90 106.90 59.51°
Element x y z (fractional)
Ca: 0.232 0.768 0.500
Ca: 0.453 0.923 0.079
Ca: 0.768 0.232 0.000
Ca: 0.923 0.453 0.579
Mn: 0.124 0.636 0.155
Mn: 0.173 0.202 0.324
Mn: 0.202 0.173 0.824
Mn: 0.203 0.681 0.823
Mn: 0.636 0.124 0.655
Mn: 0.681 0.203 0.323
Mn: 0.683 0.696 0.331
Mn: 0.696 0.683 0.831
O: 0.013 0.589 0.959
O: 0.019 0.114 0.415
O: 0.025 0.541 0.422
O: 0.114 0.019 0.915
O: 0.300 0.329 0.730
O: 0.325 0.847 0.231
O: 0.329 0.300 0.230
O: 0.385 0.778 0.709
O: 0.541 0.025 0.922
O: 0.544 0.582 0.917
O: 0.582 0.544 0.417
O: 0.589 0.013 0.459
O: 0.778 0.385 0.209
O: 0.798 0.844 0.239
O: 0.844 0.798 0.739
O: 0.847 0.325 0.731


6.
DFT (GGA-PBEsol) results for crystalline CaMn2O4 at its relaxed geometry.

The value obtained for the relative energy among the computed polymorphs is 0.70 eV/f.u. The value obtained for the energy relative to the elements, uncorrected is -1.96 eV/atom. For the size of the total moment, the calculation gives 8.0 μB per formula unit.

Cell: 6.088 6.088 6.316 Å, 119.70 119.70 60.84°
Element x y z (fractional)
Ca: 0.000 0.000 0.000
Ca: 0.619 0.619 0.835
Mn: 0.115 0.623 0.346
Mn: 0.239 0.239 0.686
Mn: 0.619 0.619 0.334
Mn: 0.623 0.115 0.346
O: 0.359 0.359 0.520
O: 0.365 0.826 0.531
O: 0.392 0.392 0.080
O: 0.434 0.863 0.152
O: 0.826 0.365 0.531
O: 0.838 0.838 0.574
O: 0.863 0.434 0.152
O: 0.872 0.872 0.171


7.
DFT (GGA-PBEsol) results for crystalline Ca5MnO6 at its relaxed geometry.

The value obtained for the energy relative to the elements, uncorrected is -2.69 eV/atom. For the size of the total moment, the calculation gives 5.0 μB per formula unit.

Cell: 8.773 8.773 5.780 Å, 108.80 108.80 21.90°
Element x y z (fractional)
Ca: 0.000 0.000 0.000
Ca: 0.164 0.164 0.830
Ca: 0.335 0.335 0.665
Ca: 0.665 0.665 0.335
Ca: 0.836 0.836 0.170
Mn: 0.500 0.500 0.500
O: 0.078 0.078 0.422
O: 0.249 0.249 0.253
O: 0.417 0.417 0.085
O: 0.583 0.583 0.915
O: 0.751 0.751 0.747
O: 0.922 0.922 0.578


8.
DFT (GGA-PBEsol) results for crystalline Ca2MnO4 at its relaxed geometry.

The value obtained for the relative energy among the computed polymorphs is 0.00 eV/f.u. The value obtained for the energy relative to the elements, uncorrected is -2.54 eV/atom. For the size of the total moment, the calculation gives 3.0 μB per formula unit.

Cell: 12.584 12.584 12.584 Å, 156.40 156.40 33.61°
Element x y z (fractional)
Ca: 0.050 0.300 0.750
Ca: 0.200 0.450 0.750
Ca: 0.300 0.050 0.250
Ca: 0.450 0.200 0.250
Ca: 0.550 0.800 0.750
Ca: 0.700 0.950 0.750
Ca: 0.800 0.550 0.250
Ca: 0.950 0.700 0.250
Mn: 0.125 0.875 0.250
Mn: 0.375 0.625 0.750
Mn: 0.625 0.375 0.250
Mn: 0.875 0.125 0.750
O: 0.045 0.795 0.250
O: 0.074 0.824 0.647
O: 0.176 0.324 0.250
O: 0.205 0.955 0.250
O: 0.295 0.545 0.750
O: 0.324 0.574 0.147
O: 0.426 0.074 0.750
O: 0.455 0.705 0.750
O: 0.545 0.295 0.250
O: 0.574 0.926 0.250
O: 0.676 0.426 0.853
O: 0.705 0.455 0.250
O: 0.795 0.045 0.750
O: 0.824 0.676 0.750
O: 0.926 0.176 0.353
O: 0.955 0.205 0.750